No. 1
Entry from Alexandria via LeMat-Bulk: crystalline TaHgSb2Te at its relaxed geometry (PBE).

```
5
Lattice="5.4228 0.0000 0.0000 0.0000 5.4228 0.0000 0.0000 0.0000 5.3867" Properties=species:S:1:pos:R:3 pbc="T T T"
Ta 0.0000 0.0000 0.0000
Hg 2.7114 2.7114 2.6934
Sb 0.0000 2.7114 0.0000
Sb 2.7114 0.0000 0.0000
Te 0.0000 0.0000 2.6934
```

Results
ΔE_f (raw)   0.287 eV per atom
M_tot   0.00 Bohr magnetons per cell
Distance to the lowest polymorph of the same formula   0 meV per atom
Space group   P4/mmm
N(E_F)   0.683 states/eV per atom

***

No. 2
Entry from Alexandria via LeMat-Bulk: crystalline TaHgSbTe2 at its relaxed geometry (PBE).

```
5
Lattice="5.4292 0.0000 0.0000 0.0000 5.4292 0.0000 0.0000 0.0000 5.4016" Properties=species:S:1:pos:R:3 pbc="T T T"
Ta 0.0000 0.0000 0.0000
Hg 2.7146 2.7146 2.7008
Sb 2.7146 2.7146 0.0000
Te 0.0000 2.7146 2.7008
Te 2.7146 0.0000 2.7008
```

Results
ΔE_f (raw)   1.523 eV per atom
M_tot   0.01 Bohr magnetons per cell
Distance to the lowest polymorph of the same formula   1316 meV per atom
Space group   P4/mmm
N(E_F)   1.318 states/eV per atom